1.
Ta4SbP (PBEsol, relaxed); N(E_F) = 6.2 states/eV per cell; magnetization = 0.0 μB per formula unit; calculated volume = 113.04 Å³ per cell; E_form (uncorrected) = 0.5411 eV per atom
1.0
0.000 3.838 3.838
3.838 0.000 3.838
3.838 3.838 0.000
Ta Sb P
4 1 1
Direct
0.125 0.125 0.125 Ta
0.125 0.125 0.625 Ta
0.125 0.625 0.125 Ta
0.625 0.125 0.125 Ta
0.500 0.500 0.500 Sb
0.750 0.750 0.750 P


2.
TaSb2TeP (PBEsol, relaxed); N(E_F) = 4.2 states/eV per cell; magnetization = 1.2 μB per formula unit; calculated volume = 145.44 Å³ per cell; E_form (uncorrected) = 0.8437 eV per atom
1.0
5.303 0.000 0.000
0.000 5.303 0.000
0.000 0.000 5.172
Ta Sb Te P
1 2 1 1
Direct
0.000 0.000 0.000 Ta
0.000 0.500 0.000 Sb
0.500 0.000 0.000 Sb
0.000 0.000 0.500 Te
0.500 0.500 0.500 P


3.
ZrTaSb2P (PBEsol, relaxed); N(E_F) = 4.8 states/eV per cell; magnetization = 0.0 μB per formula unit; calculated volume = 116.12 Å³ per cell; E_form (uncorrected) = 0.5507 eV per atom
1.0
5.085 0.000 0.000
0.000 5.085 0.000
0.000 0.000 4.490
Zr Ta Sb P
1 1 2 1
Direct
0.000 0.000 0.000 Zr
0.500 0.500 0.000 Ta
0.000 0.500 0.500 Sb
0.500 0.000 0.500 Sb
0.500 0.500 0.500 P


4.
Tc2SbP (PBEsol, relaxed); polymorph energy (0 for the lowest one) = 0.00 eV per formula unit; N(E_F) = 11.6 states/eV per cell; magnetization = 0.0 μB per formula unit; calculated volume = 234.78 Å³ per cell; E_form (uncorrected) = -0.0181 eV per atom
1.0
6.169 0.000 0.000
0.000 6.169 0.000
0.000 0.000 6.169
Tc Sb P
8 4 4
Direct
0.250 0.250 0.250 Tc
0.250 0.250 0.750 Tc
0.250 0.750 0.250 Tc
0.250 0.750 0.750 Tc
0.750 0.250 0.250 Tc
0.750 0.250 0.750 Tc
0.750 0.750 0.250 Tc
0.750 0.750 0.750 Tc
0.000 0.000 0.000 Sb
0.000 0.500 0.500 Sb
0.500 0.000 0.500 Sb
0.500 0.500 0.000 Sb
0.000 0.000 0.500 P
0.000 0.500 0.000 P
0.500 0.000 0.000 P
0.500 0.500 0.500 P


Which of these has the highest calculated volume?
Tc2SbP


Look up the E_form (uncorrected) of the second one.
0.8437 eV per atom